CrAgOs after structural relaxation. Source: the Alexandria database, functional PBE.

Geometry as POSCAR:
```
CrAgOs
1.0
2.747 0.000 0.000
0.000 16.350 0.000
0.000 0.000 3.936
Ag Cr Os
4 4 4
Cartesian
0.000 13.017 2.952
0.000 3.333 0.984
1.373 11.508 0.984
1.373 4.842 2.952
0.000 0.661 0.984
1.373 7.514 2.952
0.000 15.689 2.952
1.373 8.836 0.984
1.373 1.557 2.952
0.000 9.732 2.952
0.000 6.618 0.984
1.373 14.793 0.984
```

Values from the calculation:
Formation energy: 280 meV per atom
E_tot: -7.622 eV/atom
Excess energy over the best structure of this formula in the dataset: 0.005 eV/atom
V: 14.73 Å³/atom
Total moment: 0.000 μB per atom
Symmetry: Cmcm